1.
VASP calculation (PBE) on crystalline K2AgP2S6 at its relaxed geometry.

N(E_F): 1.75 states/eV/cell
Mass density: 2537 kg/m3
Uncorrected formation energy: -5.571 eV/f.u.
Total moment: 0.00 μB/cell
Space group: R-3m

```
11
Lattice="-2.2886 -6.2743 1.4962 3.9556 -5.4583 -1.1847 3.2885 -3.3490 6.6398" Properties=species:S:1:pos:R:3 pbc="T T T"
S 4.8270 -8.1851 4.3675
S 2.1134 -9.6355 1.9894
K 1.4276 -3.7316 2.1893
S 2.8421 -5.4462 4.9619
P 1.9422 -7.6509 2.1948
Ag 0.0000 0.0000 0.0000
S 0.1285 -6.8966 2.5839
P 3.0133 -7.4307 4.7565
S 3.2617 -6.4871 1.2386
S 1.6938 -8.5945 5.7127
K 3.5279 -11.3501 4.7620
```



2.
VASP calculation (PBE) on crystalline K2AgPS4 at its relaxed geometry.

N(E_F): 0.00 states/eV/cell
Mass density: 2447 kg/m3
Uncorrected formation energy: -5.343 eV/f.u.
Total moment: 0.00 μB/cell
Space group: Fddd

```
16
Lattice="-5.7350 0.6000 -2.5790 -0.9522 -2.9560 -6.3061 -6.2654 -9.7412 3.9303" Properties=species:S:1:pos:R:3 pbc="T T T"
K -9.1718 -9.6271 -1.1839
P -2.8675 0.3000 -1.2895
S -11.1948 -10.6546 -3.6984
S -9.6678 -7.3411 -4.3785
K -6.9967 -3.1285 -0.6408
S -3.4514 -3.1381 -5.6205
S -7.3466 -9.1844 1.6346
Ag -7.9100 -5.8986 -3.1222
S -3.9977 -4.6814 -0.8969
S -6.8288 -6.4553 -0.8265
K -6.6483 -2.1700 -5.0604
S -3.9123 -1.2171 -2.2253
K -5.0037 -6.0126 1.9921
S -5.4108 -5.7164 -3.8077
Ag 0.0000 0.0000 0.0000
P -5.0425 -6.1986 -1.8326
```



3.
VASP calculation (PBE) on crystalline KAgPS4 at its relaxed geometry.

N(E_F): 8.75 states/eV/cell
Mass density: 2891 kg/m3
Uncorrected formation energy: -2.716 eV/f.u.
Total moment: 1.39 μB/cell
Space group: P2_1/m

```
14
Lattice="6.4120 0.0000 -0.0272 0.0000 6.8140 0.0000 -2.5471 0.0000 8.0615" Properties=species:S:1:pos:R:3 pbc="T T T"
S -0.6689 6.7088 2.3714
Ag 0.0628 1.7035 4.4098
S 2.1938 5.1105 1.4073
S 1.3978 5.1105 4.5414
S 4.5338 0.1052 5.6629
K 1.4792 1.7035 0.4915
P 0.5943 5.1105 2.6829
S -0.6689 3.5122 2.3714
S 4.5338 3.3018 5.6629
Ag 3.8021 5.1105 3.6245
S 1.6711 1.7035 6.6270
S 2.4671 1.7035 3.4929
P 3.2706 1.7035 5.3514
K 2.3858 5.1105 7.5428
```